Arrangement A

Compound: Zr5Au4
Source: Alexandria
Functional: PBE-GGA
Structure: relaxed

Structure (CIF):
```
data_Zr5Au4
_chemical_formula_sum 'Zr10 Au8'
_cell_length_a 8.7945
_cell_length_b 8.7945
_cell_length_c 5.5716
_cell_angle_alpha 90.00
_cell_angle_beta 90.00
_cell_angle_gamma 120.00
_symmetry_space_group_name_H-M 'P 1'
_symmetry_Int_Tables_number 1
loop_
_symmetry_equiv_pos_as_xyz
'x,y,z'
loop_
_atom_site_label
_atom_site_type_symbol
_atom_site_fract_x
_atom_site_fract_y
_atom_site_fract_z
Zr1 Zr 0.0000 0.2833 0.2500
Zr2 Zr 0.0000 0.7167 0.7500
Zr3 Zr 0.2833 0.0000 0.2500
Zr4 Zr 0.2833 0.2833 0.7500
Zr5 Zr 0.3333 0.6667 0.0000
Zr6 Zr 0.3333 0.6667 0.5000
Zr7 Zr 0.6667 0.3333 0.0000
Zr8 Zr 0.6667 0.3333 0.5000
Zr9 Zr 0.7167 0.0000 0.7500
Zr10 Zr 0.7167 0.7167 0.2500
Au1 Au 0.0000 0.0000 0.0000
Au2 Au 0.0000 0.0000 0.5000
Au3 Au 0.0000 0.3916 0.7500
Au4 Au 0.0000 0.6084 0.2500
Au5 Au 0.3916 0.0000 0.7500
Au6 Au 0.3916 0.3916 0.2500
Au7 Au 0.6084 0.0000 0.2500
Au8 Au 0.6084 0.6084 0.7500
```

Properties
calculated density	11.07	g/cm³
symmetry	P6_3/mcm
density of states at the Fermi level	22.69	states/eV per cell
total moment	0.000	Bohr magnetons per cell

Arrangement B

Compound: Zr5Au4
Source: Alexandria
Functional: PBE-GGA
Structure: relaxed

Structure (CIF):
```
data_Zr5Au4
_chemical_formula_sum 'Zr5 Au4'
_cell_length_a 6.8128
_cell_length_b 6.8128
_cell_length_c 6.8128
_cell_angle_alpha 95.82
_cell_angle_beta 95.82
_cell_angle_gamma 142.85
_symmetry_space_group_name_H-M 'P 1'
_symmetry_Int_Tables_number 1
loop_
_symmetry_equiv_pos_as_xyz
'x,y,z'
loop_
_atom_site_label
_atom_site_type_symbol
_atom_site_fract_x
_atom_site_fract_y
_atom_site_fract_z
Zr1 Zr 0.0000 0.0000 0.0000
Zr2 Zr 0.3287 0.3287 0.6574
Zr3 Zr 0.3287 0.6713 0.0000
Zr4 Zr 0.6713 0.3287 0.0000
Zr5 Zr 0.6713 0.6713 0.3426
Au1 Au 0.0000 0.3320 0.3320
Au2 Au 0.0000 0.6680 0.6680
Au3 Au 0.3320 0.0000 0.3320
Au4 Au 0.6680 0.0000 0.6680
```

Properties
calculated density	11.41	g/cm³
symmetry	I4/mmm
density of states at the Fermi level	8.06	states/eV per cell
total moment	0.000	Bohr magnetons per cell

Stability check: which of them is most stable? arrangement A.

Arrangement A

Compound: Zr4Au5
Source: Alexandria
Functional: PBE-GGA
Structure: relaxed

Structure (CIF):
```
data_Zr4Au5
_chemical_formula_sum 'Zr4 Au5'
_cell_length_a 6.6965
_cell_length_b 6.6965
_cell_length_c 6.6965
_cell_angle_alpha 96.81
_cell_angle_beta 96.81
_cell_angle_gamma 139.73
_symmetry_space_group_name_H-M 'P 1'
_symmetry_Int_Tables_number 1
loop_
_symmetry_equiv_pos_as_xyz
'x,y,z'
loop_
_atom_site_label
_atom_site_type_symbol
_atom_site_fract_x
_atom_site_fract_y
_atom_site_fract_z
Zr1 Zr 0.0000 0.3215 0.3215
Zr2 Zr 0.0000 0.6785 0.6785
Zr3 Zr 0.3215 0.0000 0.3215
Zr4 Zr 0.6785 0.0000 0.6785
Au1 Au 0.0000 0.0000 0.0000
Au2 Au 0.3277 0.3277 0.6553
Au3 Au 0.3277 0.6723 0.0000
Au4 Au 0.6723 0.3277 0.0000
Au5 Au 0.6723 0.6723 0.3447
```

Properties
calculated density	12.30	g/cm³
symmetry	I4/mmm
density of states at the Fermi level	5.59	states/eV per cell
total moment	0.000	Bohr magnetons per cell

Arrangement B

Compound: Zr4Au5
Source: Alexandria
Functional: PBE-GGA
Structure: relaxed

Structure (CIF):
```
data_Zr4Au5
_chemical_formula_sum 'Zr8 Au10'
_cell_length_a 8.4542
_cell_length_b 8.4542
_cell_length_c 5.8133
_cell_angle_alpha 90.00
_cell_angle_beta 90.00
_cell_angle_gamma 120.00
_symmetry_space_group_name_H-M 'P 1'
_symmetry_Int_Tables_number 1
loop_
_symmetry_equiv_pos_as_xyz
'x,y,z'
loop_
_atom_site_label
_atom_site_type_symbol
_atom_site_fract_x
_atom_site_fract_y
_atom_site_fract_z
Zr1 Zr 0.0000 0.0000 0.0000
Zr2 Zr 0.0000 0.0000 0.5000
Zr3 Zr 0.0000 0.3450 0.2500
Zr4 Zr 0.0000 0.6550 0.7500
Zr5 Zr 0.3450 0.0000 0.2500
Zr6 Zr 0.3450 0.3450 0.7500
Zr7 Zr 0.6550 0.0000 0.7500
Zr8 Zr 0.6550 0.6550 0.2500
Au1 Au 0.0000 0.3227 0.7500
Au2 Au 0.0000 0.6773 0.2500
Au3 Au 0.3227 0.0000 0.7500
Au4 Au 0.3227 0.3227 0.2500
Au5 Au 0.3333 0.6667 0.0000
Au6 Au 0.3333 0.6667 0.5000
Au7 Au 0.6667 0.3333 0.0000
Au8 Au 0.6667 0.3333 0.5000
Au9 Au 0.6773 0.0000 0.2500
Au10 Au 0.6773 0.6773 0.7500
```

Properties
calculated density	12.46	g/cm³
symmetry	P6_3/mcm
density of states at the Fermi level	20.59	states/eV per cell
total moment	0.001	Bohr magnetons per cell

Stability check: which of them is most stable? arrangement B.

Arrangement A

Compound: Zr3Au4
Source: Alexandria
Functional: PBE-GGA
Structure: relaxed

Structure (CIF):
```
data_Zr3Au4
_chemical_formula_sum 'Zr3 Au4'
_cell_length_a 5.6483
_cell_length_b 5.6483
_cell_length_c 5.2057
_cell_angle_alpha 90.00
_cell_angle_beta 90.00
_cell_angle_gamma 120.00
_symmetry_space_group_name_H-M 'P 1'
_symmetry_Int_Tables_number 1
loop_
_symmetry_equiv_pos_as_xyz
'x,y,z'
loop_
_atom_site_label
_atom_site_type_symbol
_atom_site_fract_x
_atom_site_fract_y
_atom_site_fract_z
Zr1 Zr 0.0000 0.5000 0.0000
Zr2 Zr 0.5000 0.0000 0.0000
Zr3 Zr 0.5000 0.5000 0.0000
Au1 Au 0.0000 0.0000 0.2537
Au2 Au 0.0000 0.0000 0.7463
Au3 Au 0.3333 0.6667 0.5000
Au4 Au 0.6667 0.3333 0.5000
```

Properties
calculated density	12.26	g/cm³
symmetry	P6/mmm
density of states at the Fermi level	7.55	states/eV per cell
total moment	0.000	Bohr magnetons per cell

Arrangement B

Compound: Zr3Au4
Source: Alexandria
Functional: PBE-GGA
Structure: relaxed

Structure (CIF):
```
data_Zr3Au4
_chemical_formula_sum 'Zr3 Au4'
_cell_length_a 11.1273
_cell_length_b 11.1273
_cell_length_c 11.1273
_cell_angle_alpha 161.49
_cell_angle_beta 161.49
_cell_angle_gamma 26.29
_symmetry_space_group_name_H-M 'P 1'
_symmetry_Int_Tables_number 1
loop_
_symmetry_equiv_pos_as_xyz
'x,y,z'
loop_
_atom_site_label
_atom_site_type_symbol
_atom_site_fract_x
_atom_site_fract_y
_atom_site_fract_z
Zr1 Zr 0.0000 0.0000 0.0000
Zr2 Zr 0.2938 0.2938 0.0000
Zr3 Zr 0.7062 0.7062 0.0000
Au1 Au 0.1398 0.1398 0.0000
Au2 Au 0.4318 0.4318 0.0000
Au3 Au 0.5682 0.5682 0.0000
Au4 Au 0.8602 0.8602 0.0000
```

Properties
calculated density	12.70	g/cm³
symmetry	I4/mmm
density of states at the Fermi level	4.00	states/eV per cell
total moment	0.021	Bohr magnetons per cell

Stability check: which of them is most stable? arrangement B.

Arrangement A

Compound: BaB
Source: Alexandria
Functional: PBE-GGA
Structure: relaxed

Structure (CIF):
```
data_BaB
_chemical_formula_sum 'Ba1 B1'
_cell_length_a 4.4735
_cell_length_b 4.4735
_cell_length_c 4.4735
_cell_angle_alpha 60.00
_cell_angle_beta 60.00
_cell_angle_gamma 60.00
_symmetry_space_group_name_H-M 'P 1'
_symmetry_Int_Tables_number 1
loop_
_symmetry_equiv_pos_as_xyz
'x,y,z'
loop_
_atom_site_label
_atom_site_type_symbol
_atom_site_fract_x
_atom_site_fract_y
_atom_site_fract_z
Ba1 Ba 0.0000 0.0000 0.0000
B1 B 0.5000 0.5000 0.5000
```

Properties
calculated density	3.89	g/cm³
symmetry	Fm-3m
density of states at the Fermi level	2.49	states/eV per cell
total moment	1.883	Bohr magnetons per cell

Arrangement B

Compound: BaB
Source: Alexandria
Functional: PBE-GGA
Structure: relaxed

Structure (CIF):
```
data_BaB
_chemical_formula_sum 'Ba4 B4'
_cell_length_a 6.6908
_cell_length_b 6.6908
_cell_length_c 5.7447
_cell_angle_alpha 90.00
_cell_angle_beta 90.00
_cell_angle_gamma 90.00
_symmetry_space_group_name_H-M 'P 1'
_symmetry_Int_Tables_number 1
loop_
_symmetry_equiv_pos_as_xyz
'x,y,z'
loop_
_atom_site_label
_atom_site_type_symbol
_atom_site_fract_x
_atom_site_fract_y
_atom_site_fract_z
Ba1 Ba 0.1953 0.1953 0.0000
Ba2 Ba 0.3047 0.6953 0.5000
Ba3 Ba 0.6953 0.3047 0.5000
Ba4 Ba 0.8047 0.8047 0.0000
B1 B 0.0818 0.0818 0.5000
B2 B 0.4182 0.5818 0.0000
B3 B 0.5818 0.4182 0.0000
B4 B 0.9182 0.9182 0.5000
```

Properties
calculated density	3.83	g/cm³
symmetry	P4_2/mnm
density of states at the Fermi level	0.58	states/eV per cell
total moment	0.000	Bohr magnetons per cell

Arrangement C

Compound: BaB
Source: Alexandria
Functional: PBE-GGA
Structure: relaxed

Structure (CIF):
```
data_BaB
_chemical_formula_sum 'Ba4 B4'
_cell_length_a 7.3766
_cell_length_b 7.3766
_cell_length_c 7.3766
_cell_angle_alpha 109.47
_cell_angle_beta 109.47
_cell_angle_gamma 109.47
_symmetry_space_group_name_H-M 'P 1'
_symmetry_Int_Tables_number 1
loop_
_symmetry_equiv_pos_as_xyz
'x,y,z'
loop_
_atom_site_label
_atom_site_type_symbol
_atom_site_fract_x
_atom_site_fract_y
_atom_site_fract_z
Ba1 Ba 0.0000 0.0000 0.4193
Ba2 Ba 0.0000 0.4193 0.0000
Ba3 Ba 0.4193 0.0000 0.0000
Ba4 Ba 0.5807 0.5807 0.5807
B1 B 0.0000 0.0000 0.8543
B2 B 0.0000 0.8543 0.0000
B3 B 0.1457 0.1457 0.1457
B4 B 0.8543 0.0000 0.0000
```

Properties
calculated density	3.18	g/cm³
symmetry	I-43m
density of states at the Fermi level	11.48	states/eV per cell
total moment	0.031	Bohr magnetons per cell

Arrangement D

Compound: BaB
Source: Alexandria
Functional: PBE-GGA
Structure: relaxed

Structure (CIF):
```
data_BaB
_chemical_formula_sum 'Ba1 B1'
_cell_length_a 4.8316
_cell_length_b 4.8316
_cell_length_c 4.8316
_cell_angle_alpha 60.00
_cell_angle_beta 60.00
_cell_angle_gamma 60.00
_symmetry_space_group_name_H-M 'P 1'
_symmetry_Int_Tables_number 1
loop_
_symmetry_equiv_pos_as_xyz
'x,y,z'
loop_
_atom_site_label
_atom_site_type_symbol
_atom_site_fract_x
_atom_site_fract_y
_atom_site_fract_z
Ba1 Ba 0.0000 0.0000 0.0000
B1 B 0.2500 0.2500 0.2500
```

Properties
calculated density	3.08	g/cm³
symmetry	F-43m
density of states at the Fermi level	2.40	states/eV per cell
total moment	2.347	Bohr magnetons per cell

Stability check: which of them is most stable? arrangement B.